Record 1
# TlTcAu2

Crystalline TlTcAu2 at its relaxed geometry (PBE, Alexandria via LeMat-Bulk).

As for the formation energy: 0.460 eV per atom. The energy above the lowest structure with this stoichiometry comes out at 56 meV per atom. Its total moment is 0.000 μB per formula unit.

It has space group R3m (No. 160, hexagonal axes), with a = 3.0175 Å, b = 3.0175 Å, c = 28.5037 Å, α = 90.00°, β = 90.00° and γ = 120.00°. The asymmetric unit holds Tl at (0.0000, 0.0000, 0.0000), Tc at (0.0000, 0.0000, 0.2491), Au at (0.0000, 0.0000, 0.5072) and Au at (0.0000, 0.0000, 0.7579).

=====

Record 2
# BaNaLi2Ag

Crystalline BaNaLi2Ag at its relaxed geometry (PBE, Alexandria via LeMat-Bulk).

As for the formation energy: 0.032 eV per atom. The energy above the lowest structure with this stoichiometry comes out at 0 meV per atom. Its total moment is 0.000 μB per formula unit.

It has space group P4/mmm (No. 123), with a = 5.3044 Å, b = 5.3044 Å, c = 5.6496 Å, α = 90.00°, β = 90.00° and γ = 90.00°. The asymmetric unit holds Ba at (0.0000, 0.0000, 0.0000), Na at (0.5000, 0.5000, 0.0000), Li at (0.0000, 0.5000, 0.5000) and Ag at (0.5000, 0.5000, 0.5000).

=====

Record 3
# BaCeMg2

Crystalline BaCeMg2 at its relaxed geometry (PBE, Alexandria via LeMat-Bulk).

As for the formation energy: 0.215 eV per atom. The energy above the lowest structure with this stoichiometry comes out at 159 meV per atom. Its total moment is 1.222 μB per formula unit.

It has space group R-3m (No. 166, hexagonal axes), with a = 3.5976 Å, b = 3.5976 Å, c = 35.0655 Å, α = 90.00°, β = 90.00° and γ = 120.00°. The asymmetric unit holds Ba at (0.0000, 0.0000, 0.0000), Ce at (0.0000, 0.0000, 0.5000) and Mg at (0.0000, 0.0000, 0.2451).